# 1
# NdTmSb2, optimized geometry, DFT PBE
# * total magnetic moment: 0.000 μB per atom
# * uncorrected formation energy: -0.997 eV per atom
# * volume: 126 Å³ per cell
# * space group: R3m, No. 160
data_NdTmSb2
_space_group_name_H-M_alt 'P 1'
_space_group_IT_number 1
_space_group_name_Hall 'P 1'
_cell_length_a 4.4054
_cell_length_b 4.4054
_cell_length_c 7.9209
_cell_angle_alpha 73.85
_cell_angle_beta 73.85
_cell_angle_gamma 60.00
loop_
_atom_site_label
_atom_site_type_symbol
_atom_site_fract_x
_atom_site_fract_y
_atom_site_fract_z
_atom_site_occupancy
Nd1 Nd 0.6689 0.6689 0.9934 1
Tm1 Tm 0.4980 0.4980 0.5060 1
Sb1 Sb 0.0857 0.0857 0.7430 1
Sb2 Sb 0.2474 0.2474 0.2577 1

---

# 2
# Nd2TmSb, optimized geometry, DFT PBE
# * total magnetic moment: 0.000 μB per atom
# * uncorrected formation energy: -0.508 eV per atom
# * volume: 122 Å³ per cell
# * space group: P4/mmm, No. 123
data_Nd2TmSb
_space_group_name_H-M_alt 'P 1'
_space_group_IT_number 1
_space_group_name_Hall 'P 1'
_cell_length_a 4.2476
_cell_length_b 4.2476
_cell_length_c 6.7757
_cell_angle_alpha 90.00
_cell_angle_beta 90.00
_cell_angle_gamma 90.00
loop_
_atom_site_label
_atom_site_type_symbol
_atom_site_fract_x
_atom_site_fract_y
_atom_site_fract_z
_atom_site_occupancy
Sb1 Sb 0.5000 0.5000 0.5000 1
Tm1 Tm 0.5000 0.5000 0.0000 1
Nd1 Nd 0.0000 0.0000 0.7344 1
Nd2 Nd 0.0000 0.0000 0.2656 1

---

# 3
# NdTmSb2, optimized geometry, DFT PBE
# * total magnetic moment: 0.000 μB per atom
# * uncorrected formation energy: -1.123 eV per atom
# * volume: 123 Å³ per cell
# * space group: R-3m, No. 166
data_NdTmSb2
_space_group_name_H-M_alt 'P 1'
_space_group_IT_number 1
_space_group_name_Hall 'P 1'
_cell_length_a 4.4368
_cell_length_b 4.4368
_cell_length_c 7.6655
_cell_angle_alpha 89.96
_cell_angle_beta 106.85
_cell_angle_gamma 120.03
loop_
_atom_site_label
_atom_site_type_symbol
_atom_site_fract_x
_atom_site_fract_y
_atom_site_fract_z
_atom_site_occupancy
Nd1 Nd 0.9999 0.5001 0.5000 1
Tm1 Tm 0.0001 0.9999 0.0000 1
Sb1 Sb 0.5083 0.2542 0.7624 1
Sb2 Sb 0.4917 0.7459 0.2376 1

---

# 4
# NdUSb2, optimized geometry, DFT PBE
# * total magnetic moment: 0.662 μB per atom
# * uncorrected formation energy: -0.684 eV per atom
# * volume: 125 Å³ per cell
# * space group: R-3m, No. 166
data_NdUSb2
_space_group_name_H-M_alt 'P 1'
_space_group_IT_number 1
_space_group_name_Hall 'P 1'
_cell_length_a 4.3967
_cell_length_b 4.3967
_cell_length_c 7.8616
_cell_angle_alpha 73.76
_cell_angle_beta 73.76
_cell_angle_gamma 60.00
loop_
_atom_site_label
_atom_site_type_symbol
_atom_site_fract_x
_atom_site_fract_y
_atom_site_fract_z
_atom_site_occupancy
Nd1 Nd 0.0000 0.0000 0.0000 1
U1 U 0.5000 0.5000 0.5000 1
Sb1 Sb 0.2472 0.2472 0.2583 1
Sb2 Sb 0.7528 0.7528 0.7417 1

---

# 5
# Nd2USb3, optimized geometry, DFT PBE
# * total magnetic moment: 0.442 μB per atom
# * uncorrected formation energy: -0.844 eV per atom
# * volume: 190 Å³ per cell
# * space group: Fmmm, No. 69
data_Nd2USb3
_space_group_name_H-M_alt 'P 1'
_space_group_IT_number 1
_space_group_name_Hall 'P 1'
_cell_length_a 4.4786
_cell_length_b 4.4786
_cell_length_c 9.9925
_cell_angle_alpha 102.98
_cell_angle_beta 102.97
_cell_angle_gamma 89.89
loop_
_atom_site_label
_atom_site_type_symbol
_atom_site_fract_x
_atom_site_fract_y
_atom_site_fract_z
_atom_site_occupancy
Nd1 Nd 0.1021 0.1033 0.2094 1
Nd2 Nd 0.7666 0.7678 0.5385 1
U1 U 0.4340 0.4360 0.8740 1
Sb1 Sb 0.9340 0.9361 0.8740 1
Sb2 Sb 0.2708 0.2720 0.5469 1
Sb3 Sb 0.5979 0.5990 0.2011 1

---

# 6
# NdUSb2, optimized geometry, DFT PBE
# * total magnetic moment: 0.814 μB per atom
# * uncorrected formation energy: -0.498 eV per atom
# * volume: 109 Å³ per cell
# * space group: P4/mmm, No. 123
data_NdUSb2
_space_group_name_H-M_alt 'P 1'
_space_group_IT_number 1
_space_group_name_Hall 'P 1'
_cell_length_a 3.2892
_cell_length_b 5.7613
_cell_length_c 5.7613
_cell_angle_alpha 90.00
_cell_angle_beta 90.00
_cell_angle_gamma 90.00
loop_
_atom_site_label
_atom_site_type_symbol
_atom_site_fract_x
_atom_site_fract_y
_atom_site_fract_z
_atom_site_occupancy
Nd1 Nd 0.5000 0.5000 0.5000 1
U1 U 0.5000 0.0000 0.0000 1
Sb1 Sb 0.0000 0.0000 0.5000 1
Sb2 Sb 0.0000 0.5000 0.0000 1

---

# 7
# NdVSb, optimized geometry, DFT PBE
# * total magnetic moment: 0.000 μB per atom
# * uncorrected formation energy: -0.055 eV per atom
# * volume: 155 Å³ per cell
# * space group: C2/m, No. 12
data_NdVSb
_space_group_name_H-M_alt 'P 1'
_space_group_IT_number 1
_space_group_name_Hall 'P 1'
_cell_length_a 4.2849
_cell_length_b 4.2849
_cell_length_c 8.9527
_cell_angle_alpha 103.18
_cell_angle_beta 103.18
_cell_angle_gamma 92.36
loop_
_atom_site_label
_atom_site_type_symbol
_atom_site_fract_x
_atom_site_fract_y
_atom_site_fract_z
_atom_site_occupancy
V1 V 0.6566 0.6566 0.4998 1
V2 V 0.3434 0.3434 0.5002 1
Nd1 Nd 0.6817 0.6817 0.8653 1
Nd2 Nd 0.3183 0.3183 0.1347 1
Sb1 Sb 0.1198 0.1198 0.7418 1
Sb2 Sb 0.8802 0.8802 0.2582 1

---

# 8
# Nd2Y2Sb3, optimized geometry, DFT PBE
# * total magnetic moment: 0.000 μB per atom
# * uncorrected formation energy: -1.037 eV per atom
# * volume: 411 Å³ per cell
# * space group: I2_13, No. 199
data_Nd2Y2Sb3
_space_group_name_H-M_alt 'P 1'
_space_group_IT_number 1
_space_group_name_Hall 'P 1'
_cell_length_a 8.1096
_cell_length_b 8.1096
_cell_length_c 8.1096
_cell_angle_alpha 109.47
_cell_angle_beta 109.47
_cell_angle_gamma 109.47
loop_
_atom_site_label
_atom_site_type_symbol
_atom_site_fract_x
_atom_site_fract_y
_atom_site_fract_z
_atom_site_occupancy
Nd1 Nd 0.5000 0.3520 0.5000 1
Nd2 Nd 0.0000 0.0000 0.3520 1
Nd3 Nd 0.6480 0.1480 0.1480 1
Nd4 Nd 0.8520 0.5000 0.0000 1
Y1 Y 0.0000 0.0000 0.8616 1
Y2 Y 0.5000 0.8616 0.5000 1
Y3 Y 0.1384 0.6384 0.6384 1
Y4 Y 0.3616 0.5000 0.0000 1
Sb1 Sb 0.7500 0.6319 0.3819 1
Sb2 Sb 0.2500 0.8681 0.1181 1
Sb3 Sb 0.6181 0.7500 0.8681 1
Sb4 Sb 0.8819 0.2500 0.6319 1
Sb5 Sb 0.3681 0.1181 0.7500 1
Sb6 Sb 0.1319 0.3819 0.2500 1

---

total magnetic moment of number 6 (NdUSb2)?
0.814 μB per atom

---

total magnetic moment of number 4 (NdUSb2)?
0.662 μB per atom

---

uncorrected formation energy of number 1 (NdTmSb2)?
-0.997 eV per atom

---

Which of these has the lowest volume?
number 6